Record 1
Entry from Alexandria: MgCd4Ag4 after structural relaxation (PBE-GGA).

Summary:
E_form (eV/atom): 0.09
Energy relative to the lowest polymorph listed for this composition (meV/atom): 172.2

```
data_MgCd4Ag4
_cell_length_a 7.698
_cell_length_b 7.698
_cell_length_c 7.030
_cell_angle_alpha 90.00
_cell_angle_beta 90.00
_cell_angle_gamma 90.00
_symmetry_space_group_name_H-M 'P 1'
_symmetry_Int_Tables_number 1
_symmetry_space_group_name_Hall 'P 1'
loop_
_atom_site_label
_atom_site_fract_x
_atom_site_fract_y
_atom_site_fract_z
_atom_site_occupancy
Mg1 0.250 0.750 0.250 1
Mg2 0.750 0.250 0.750 1
Cd1 0.065 0.250 0.010 1
Cd2 0.250 0.065 0.510 1
Cd3 0.250 0.435 0.510 1
Cd4 0.435 0.250 0.010 1
Cd5 0.565 0.750 0.990 1
Cd6 0.750 0.565 0.490 1
Cd7 0.750 0.935 0.490 1
Cd8 0.935 0.750 0.990 1
Ag1 0.060 0.750 0.595 1
Ag2 0.250 0.560 0.905 1
Ag3 0.250 0.940 0.905 1
Ag4 0.440 0.750 0.595 1
Ag5 0.560 0.250 0.405 1
Ag6 0.750 0.060 0.095 1
Ag7 0.750 0.440 0.095 1
Ag8 0.940 0.250 0.405 1
```

***

Record 2
Entry from Alexandria: PmNdGaAu after structural relaxation (PBE-GGA).

Summary:
E_form (eV/atom): -0.63
Energy relative to the lowest polymorph listed for this composition (meV/atom): 39.1

```
data_PmNdGaAu
_cell_length_a 7.430
_cell_length_b 7.430
_cell_length_c 7.430
_cell_angle_alpha 90.00
_cell_angle_beta 90.00
_cell_angle_gamma 90.00
_symmetry_space_group_name_H-M 'P 1'
_symmetry_Int_Tables_number 1
_symmetry_space_group_name_Hall 'P 1'
loop_
_atom_site_label
_atom_site_fract_x
_atom_site_fract_y
_atom_site_fract_z
_atom_site_occupancy
Pm1 0.000 0.000 0.000 1
Pm2 0.000 0.500 0.500 1
Pm3 0.500 0.000 0.500 1
Pm4 0.500 0.500 0.000 1
Nd1 0.000 0.000 0.500 1
Nd2 0.000 0.500 0.000 1
Nd3 0.500 0.000 0.000 1
Nd4 0.500 0.500 0.500 1
Ga1 0.250 0.250 0.250 1
Ga2 0.250 0.750 0.750 1
Ga3 0.750 0.250 0.750 1
Ga4 0.750 0.750 0.250 1
Au1 0.250 0.250 0.750 1
Au2 0.250 0.750 0.250 1
Au3 0.750 0.250 0.250 1
Au4 0.750 0.750 0.750 1
```

***

Record 3
Entry from Alexandria: HoTh2S3 after structural relaxation (PBE-GGA).

Summary:
Energy relative to the elements, uncorrected (eV/atom): -1.871

```
data_HoTh2S3
_cell_length_a 6.876
_cell_length_b 6.876
_cell_length_c 6.970
_cell_angle_alpha 99.44
_cell_angle_beta 99.44
_cell_angle_gamma 119.84
_symmetry_space_group_name_H-M 'P 1'
_symmetry_Int_Tables_number 1
_symmetry_space_group_name_Hall 'P 1'
loop_
_atom_site_label
_atom_site_fract_x
_atom_site_fract_y
_atom_site_fract_z
_atom_site_occupancy
Ho1 0.167 0.833 0.000 1
Ho2 0.833 0.167 0.000 1
Th1 0.000 0.000 0.500 1
Th2 0.337 0.663 0.500 1
Th3 0.500 0.500 0.000 1
Th4 0.663 0.337 0.500 1
S1 0.077 0.420 0.760 1
S2 0.235 0.235 0.234 1
S3 0.420 0.077 0.760 1
S4 0.580 0.923 0.240 1
S5 0.765 0.765 0.766 1
S6 0.923 0.580 0.240 1
```

***

Number 1: V 23.147 A^3/atom, density of states at the Fermi level 7.7 states/eV per cell, mass density 7.2 g cm⁻³. Number 2: V 25.633 A^3/atom, density of states at the Fermi level 16.7 states/eV per cell, mass density 9.0 g cm⁻³. Number 3: V 22.512 A^3/atom, density of states at the Fermi level 7.9 states/eV per cell, mass density 8.9 g cm⁻³.